Computed, not measured: CaSc3Mn at its PBEsol-relaxed geometry at the meta-GGA SCAN level of DFT.

Cell lengths 4.9868, 4.9868, 4.9868 Å; angles 90.00, 90.00, 90.00 degrees
Closest atoms and distances in Å follow each position.
Positions (direct):
Ca  0.0000  0.0000  0.0000  6 Sc 2.49
Sc  0.0000  0.0000  0.5000  2 Ca 2.49
Sc  0.0000  0.5000  0.0000  2 Ca 2.49
Sc  0.5000  0.0000  0.0000  2 Ca 2.49
Mn  0.5000  0.5000  0.5000  12 Sc 3.53

Summary:
The energy above the most stable polymorph in this dataset is 1089 meV per atom. The space group is Pm-3m (221). For the calculated formation energy, the calculation gives 1.2409 eV/atom.



Computed, not measured: Hf2CoIr2 at its PBEsol-relaxed geometry at the meta-GGA SCAN level of DFT.

Cell lengths 7.4393, 7.4393, 7.4393 Å; angles 152.02, 152.02, 39.99 degrees
Closest atoms and distances in Å follow each position.
Positions (direct):
Hf  0.1052  0.1052  0.0000  4 Ir 2.71, 4 Co 2.94, 1 Hf 2.94
Hf  0.8948  0.8948  0.0000  4 Ir 2.71, 4 Co 2.94, 1 Hf 2.94
Co  0.5000  0.5000  0.0000  8 Hf 2.94
Ir  0.2500  0.7500  0.5000  4 Ir 2.54, 4 Hf 2.71
Ir  0.7500  0.2500  0.5000  4 Ir 2.54, 4 Hf 2.71

Summary:
The space group is I4/mmm (139). For the calculated formation energy, the calculation gives -0.1838 eV/atom.



Computed, not measured: MnFeSi2 at its PBEsol-relaxed geometry at the meta-GGA SCAN level of DFT.

Cell lengths 4.4086, 4.4086, 4.0234 Å; angles 106.89, 106.89, 35.13 degrees
Closest atoms and distances in Å follow each position.
Positions (direct):
Mn  0.0000  0.0000  0.0000  7 Si 2.33-2.43, 2 Fe 2.58
Fe  0.2477  0.2477  0.6170  7 Si 2.35-2.43, 2 Mn 2.58
Si  0.5046  0.5046  0.4987  3 Fe 2.35-2.36, 4 Mn 2.40-2.43, 2 Si 2.61
Si  0.7458  0.7458  0.1211  3 Mn 2.33-2.38, 4 Fe 2.39-2.43, 2 Si 2.61

Summary:
For the uncorrected formation energy, the calculation gives -0.3141 eV/atom. The space group is Cm (8).



Computed, not measured: TcPO2 at its PBEsol-relaxed geometry at the meta-GGA SCAN level of DFT.

Cell lengths 6.7377, 6.7377, 6.7377 Å; angles 23.36, 23.36, 23.36 degrees
Closest atoms and distances in Å follow each position.
Positions (direct):
Tc  0.0000  0.0000  0.0000  6 O 2.07
P  0.5000  0.5000  0.5000  2 O 1.93
O  0.4020  0.4020  0.4020  1 P 1.93, 3 Tc 2.07
O  0.5980  0.5980  0.5980  1 P 1.93, 3 Tc 2.07

Summary:
For the uncorrected formation energy, the calculation gives -0.8364 eV/atom. The space group is R-3m (166).



| no. | calculated density (g/cm3) | final energy (eV per atom) |
| --- | --- | --- |
| 1 | 3.08 | -12.885 |
| 2 | 14.69 | -57.154 |
| 3 | 6.47 | -14.418 |
| 4 | 6.33 | -15.317 |